Entry 1:
## Ac2DyAs3Pt4 (PBE-GGA)

Data for Ac2DyAs3Pt4 after structural relaxation.

As for the formation energy: -947.4 kJ/mol of formula units.

The structure belongs to space group P-4m2 (No. 115); the cell edges are 4.4272, 4.4272 and 11.3351 Å and the angles 90.00°, 90.00° and 90.00°. Symmetry generates all atoms from Ac at (0.0000, 0.5000, 0.2221), Dy at (0.0000, 0.0000, 0.5000), As at (0.0000, 0.5000, 0.8771), As at (0.5000, 0.5000, 0.5000), Pt at (0.0000, 0.0000, 0.0000), Pt at (0.0000, 0.5000, 0.6544) and Pt at (0.5000, 0.5000, 0.0000).

---

Entry 2:
## CoTc3Ir (PBE-GGA)

Data for CoTc3Ir after structural relaxation.

As for the formation energy: 656.3 kJ/mol of formula units.

The structure belongs to space group Pm-3m (No. 221); the cell edges are 4.3228, 4.3228 and 4.3228 Å and the angles 90.00°, 90.00° and 90.00°. Symmetry generates all atoms from Co at (0.0000, 0.0000, 0.0000), Tc at (0.0000, 0.0000, 0.5000) and Ir at (0.5000, 0.5000, 0.5000).

---

Entry 3:
## ZnAsCl2 (PBE-GGA)

Data for ZnAsCl2 after structural relaxation.

The raw formation energy is -0.39 eV per atom. Its energy above the most stable polymorph in this dataset is 0.035 eV per atom.

The structure belongs to space group Pmm2 (No. 25); the cell edges are 3.6239, 3.6401 and 8.0910 Å and the angles 90.00°, 90.00° and 90.00°. Symmetry generates all atoms from Zn at (0.0000, 0.0000, 0.0000), As at (0.5000, 0.5000, 0.9000), Cl at (0.0000, 0.0000, 0.2659) and Cl at (0.5000, 0.5000, 0.6324).

---

Entry 4:
## Ca4PtPb (PBE-GGA)

Data for Ca4PtPb after structural relaxation.

Its energy above the most stable polymorph in this dataset is 0.000 eV per atom. As for the formation energy: -353.1 kJ/mol of formula units.

The structure belongs to space group C2/c (No. 15); the cell edges are 9.2716, 14.2372 and 6.0479 Å and the angles 90.00°, 112.18° and 90.00°. Symmetry generates all atoms from Ca at (0.1156, 0.1684, 0.0646), Ca at (0.2120, 0.4330, 0.3372), Pt at (0.0000, 0.0012, 0.2500) and Pb at (0.0000, 0.3645, 0.7500).

---

Entry 5:
## Tb2GaCl (PBE-GGA)

Data for Tb2GaCl after structural relaxation.

The raw formation energy is -0.91 eV per atom. Its energy above the most stable polymorph in this dataset is 0.012 eV per atom.

The structure belongs to space group R-3m (No. 166, hexagonal axes); the cell edges are 3.7145, 3.7145 and 24.4790 Å and the angles 90.00°, 90.00° and 120.00°. Symmetry generates all atoms from Tb at (0.0000, 0.0000, 0.2478), Ga at (0.0000, 0.0000, 0.5000) and Cl at (0.0000, 0.0000, 0.0000).

---

Entry 6:
## Cs2K5Na4 (PBE-GGA)

Data for Cs2K5Na4 after structural relaxation.

Its energy above the most stable polymorph in this dataset is 0.008 eV per atom. As for the formation energy: 35.1 kJ/mol of formula units.

The structure belongs to space group C2/m (No. 12); the cell edges are 18.5722, 8.4637 and 12.3926 Å and the angles 90.00°, 131.67° and 90.00°. Symmetry generates all atoms from Cs at (0.1998, 0.0000, 0.2005), K at (0.9996, 0.2510, 0.3208), K at (0.0000, 0.5000, 0.0000), Na at (0.2457, 0.5000, 0.0890) and Na at (0.2467, 0.5000, 0.4012).

---

Entry 7:
## MgAs2HBr (PBE-GGA)

Data for MgAs2HBr after structural relaxation.

Its energy above the most stable polymorph in this dataset is 0.660 eV per atom.

The structure belongs to space group P4/mmm (No. 123); the cell edges are 5.1278, 5.1278 and 5.3953 Å and the angles 90.00°, 90.00° and 90.00°. Symmetry generates all atoms from Mg at (0.0000, 0.0000, 0.0000), As at (0.0000, 0.5000, 0.0000), H at (0.5000, 0.5000, 0.5000) and Br at (0.0000, 0.0000, 0.5000).

---

Entry 8:
## LaTb15Pr4 (PBE-GGA)

Data for LaTb15Pr4 after structural relaxation.

As for the formation energy: 37.0 kJ/mol of formula units.

The structure belongs to space group P4/mmm (No. 123); the cell edges are 5.1048, 5.1048 and 25.3775 Å and the angles 90.00°, 90.00° and 90.00°. Symmetry generates all atoms from La at (0.0000, 0.0000, 0.0000), Tb at (0.0000, 0.5000, 0.1006), Tb at (0.0000, 0.5000, 0.3001), Tb at (0.0000, 0.5000, 0.5000), Tb at (0.5000, 0.5000, 0.0000), Tb at (0.5000, 0.5000, 0.2004), Tb at (0.5000, 0.5000, 0.4000), Pr at (0.0000, 0.0000, 0.1998) and Pr at (0.0000, 0.0000, 0.4001).

---

no.,uncorrected energy (Ry/atom)
1,-0.446
2,-0.592
3,-0.205
4,-0.262
5,-0.326
6,-0.081
7,-0.175
8,-0.342